(1)
This record from Alexandria describes Er3RuPb after structural relaxation. The functional is PBE.

**Polymorph energy (0 for the lowest one)**: 63 meV/atom
**Space-group type**: Cmce
**Magnetic moment**: 0.0 Bohr magnetons per cell
**E**: -5.679 eV/atom
**Formation enthalpy at 0 K**: -0.34 eV/atom

Lattice parameters (Å, degrees): 8.9859 8.9859 6.9718 90.00 90.00 74.91
Closest atoms and distances in Å follow each position.
Fractional coordinates of all 20 atoms:
Er1 0.0538 0.6747 0.3942  2 Ru 2.75
Er2 0.0578 0.9422 0.7742  3 Ru 2.84-2.92
Er3 0.1747 0.5538 0.8942  2 Ru 2.75
Er4 0.3253 0.9462 0.3942  2 Ru 2.75
Er5 0.4422 0.5578 0.2742  3 Ru 2.84-2.92
Er6 0.4462 0.8253 0.8942  2 Ru 2.75
Er7 0.5538 0.1747 0.1058  2 Ru 2.75
Er8 0.5578 0.4422 0.7258  3 Ru 2.84-2.92
Er9 0.6747 0.0538 0.6058  2 Ru 2.75
Er10 0.8253 0.4462 0.1058  2 Ru 2.75
Er11 0.9422 0.0578 0.2258  3 Ru 2.84-2.92
Er12 0.9462 0.3253 0.6058  2 Ru 2.75
Ru1 0.1999 0.8001 0.1149  7 Er 2.75-2.92
Ru2 0.3001 0.6999 0.6149  7 Er 2.75-2.92
Ru3 0.6999 0.3001 0.3851  7 Er 2.75-2.92
Ru4 0.8001 0.1999 0.8851  7 Er 2.75-2.92
Pb1 0.1983 0.3017 0.2500  8 Er 3.26-3.57
Pb2 0.3017 0.1983 0.7500  8 Er 3.26-3.57
Pb3 0.6983 0.8017 0.2500  8 Er 3.26-3.57
Pb4 0.8017 0.6983 0.7500  8 Er 3.26-3.57

(2)
This record from Alexandria describes Er7Ru2Pb2 after structural relaxation. The functional is PBE.

**Polymorph energy (0 for the lowest one)**: 0 meV/atom
**Space-group type**: Imm2
**Magnetic moment**: 0.0 Bohr magnetons per cell
**E**: -5.657 eV/atom
**Formation enthalpy at 0 K**: -0.39 eV/atom

Lattice parameters (Å, degrees): 9.7121 9.7121 9.7121 158.13 64.98 119.67
Closest atoms and distances in Å follow each position.
Fractional coordinates of all 11 atoms:
Er1 0.0000 0.0000 0.0000  3 Pb 3.11-3.21
Er2 0.3110 0.4430 0.8680  2 Ru 2.77
Er3 0.3196 0.6366 0.6830  2 Ru 2.82
Er4 0.5750 0.4430 0.1320  2 Ru 2.77
Er5 0.6282 0.2827 0.3455  2 Ru 2.80
Er6 0.9372 0.2827 0.6545  2 Ru 2.80
Er7 0.9536 0.6366 0.3170  2 Ru 2.82
Ru1 0.1833 0.9414 0.2419  6 Er 2.77-2.82
Ru2 0.6994 0.9414 0.7581  6 Er 2.77-2.82
Pb1 0.2687 0.7687 0.5000  8 Er 3.21-3.31
Pb2 0.6817 0.6817 0.0000  7 Er 3.11-3.28

(3)
This record from Alexandria describes Er2RuPb after structural relaxation. The functional is PBE.

**Polymorph energy (0 for the lowest one)**: 0 meV/atom
**Space-group type**: P4/mmm
**Magnetic moment**: 0.0 Bohr magnetons per cell
**E**: -6.026 eV/atom
**Formation enthalpy at 0 K**: -0.50 eV/atom

Lattice parameters (Å, degrees): 3.4162 3.4162 8.1027 90.00 90.00 90.00
Closest atoms and distances in Å follow each position.
Fractional coordinates of all 4 atoms:
Er1 0.0000 0.0000 0.2020  4 Ru 2.92
Er2 0.0000 0.0000 0.7980  4 Ru 2.92
Ru1 0.5000 0.5000 0.0000  8 Er 2.92
Pb1 0.5000 0.5000 0.5000  8 Er 3.42, 4 Pb 3.42

(4)
This record from Alexandria describes Er2RuPb after structural relaxation. The functional is PBE.

**Polymorph energy (0 for the lowest one)**: 205 meV/atom
**Space-group type**: P4/mmm
**Magnetic moment**: 0.0 Bohr magnetons per cell
**E**: -5.820 eV/atom
**Formation enthalpy at 0 K**: -0.29 eV/atom

Lattice parameters (Å, degrees): 4.9041 4.9041 3.8267 90.00 90.00 90.00
Closest atoms and distances in Å follow each position.
Fractional coordinates of all 4 atoms:
Er1 0.0000 0.5000 0.0000  4 Pb 3.11, 4 Ru 3.11, 4 Er 3.47
Er2 0.5000 0.0000 0.0000  4 Pb 3.11, 4 Ru 3.11, 4 Er 3.47
Ru1 0.0000 0.0000 0.5000  8 Er 3.11, 4 Pb 3.47
Pb1 0.5000 0.5000 0.5000  8 Er 3.11, 4 Ru 3.47

(5)
This record from Alexandria describes Er4Ru2Pb after structural relaxation. The functional is PBE.

**Polymorph energy (0 for the lowest one)**: 0 meV/atom
**Space-group type**: P1
**Magnetic moment**: 0.0 Bohr magnetons per cell
**E**: -6.198 eV/atom
**Formation enthalpy at 0 K**: -0.41 eV/atom

Lattice parameters (Å, degrees): 6.0285 7.8463 8.3588 116.04 100.96 97.90
Closest atoms and distances in Å follow each position.
Fractional coordinates of all 14 atoms:
Er1 0.0000 0.0000 0.0000  3 Ru 2.72-2.93
Er2 0.0779 0.9178 0.3922  3 Ru 2.86-2.99
Er3 0.1881 0.4780 0.2790  3 Ru 2.73-2.88
Er4 0.2857 0.4062 0.6667  3 Ru 2.67-2.97
Er5 0.4973 0.8439 0.1285  3 Ru 2.68-2.94
Er6 0.5900 0.3235 0.0845  3 Ru 2.75-3.01
Er7 0.7018 0.1361 0.6132  4 Ru 2.73-3.00
Er8 0.7952 0.5549 0.5565  2 Ru 2.61-2.77
Ru1 0.1602 0.1977 0.8304  4 Er 2.67-2.85
Ru2 0.3967 0.2002 0.3342  8 Er 2.79-3.01, 2 Ru 2.93-3.10
Ru3 0.6080 0.7396 0.3935  4 Er 2.61-2.73
Ru4 0.8812 0.2022 0.3291  8 Er 2.77-3.00, 2 Ru 2.93-3.10
Pb1 0.3786 0.8536 0.7189  2 Ru 3.02-3.12, 3 Er 3.25-3.29
Pb2 0.9470 0.5593 0.9545  1 Ru 3.12, 8 Er 3.17-3.38

(6)
This record from Alexandria describes Er7Ru2Pb after structural relaxation. The functional is PBE.

**Space-group type**: I4/mmm
**Magnetic moment**: 0.0 Bohr magnetons per cell
**E**: -5.713 eV/atom
**Formation enthalpy at 0 K**: -0.29 eV/atom

Lattice parameters (Å, degrees): 12.0725 12.0725 12.0725 157.14 157.14 32.55
Closest atoms and distances in Å follow each position.
Fractional coordinates of all 10 atoms:
Er1 0.0000 0.0000 0.0000  4 Pb 3.38, 8 Er 3.45
Er2 0.1075 0.6075 0.5000  2 Ru 2.82
Er3 0.2500 0.7500 0.5000  4 Ru 3.00, 2 Er 3.30
Er4 0.3925 0.8925 0.5000  2 Ru 2.82
Er5 0.6075 0.1075 0.5000  2 Ru 2.82
Er6 0.7500 0.2500 0.5000  4 Ru 3.00, 2 Er 3.30
Er7 0.8925 0.3925 0.5000  2 Ru 2.82
Ru1 0.1717 0.1717 0.0000  8 Er 2.82-3.00
Ru2 0.8283 0.8283 0.0000  8 Er 2.82-3.00
Pb1 0.5000 0.5000 0.0000  12 Er 3.38-3.45

Fermi-level density of states readings, ordered: 0.86, 0.79, 0.36, 0.67, 0.61, 0.98 states/eV/atom